Below is Zr4Ga2Fe after structural relaxation, with properties calculated at the PBE level.

Lattice parameters (Å, degrees): 4.581 4.581 14.694 90.00 90.00 90.00
Fractional positions:
Zr 0.000 0.000 0.179
Zr 0.000 0.000 0.821
Zr 0.000 0.500 0.000
Zr 0.000 0.500 0.500
Zr 0.500 0.000 0.000
Zr 0.500 0.000 0.500
Zr 0.500 0.500 0.321
Zr 0.500 0.500 0.679
Ga 0.000 0.000 0.366
Ga 0.000 0.000 0.634
Ga 0.500 0.500 0.134
Ga 0.500 0.500 0.866
Fe 0.000 0.000 0.000
Fe 0.500 0.500 0.500



Below is Zr6Ga2Fe after structural relaxation, with properties calculated at the PBE level.

Lattice parameters (Å, degrees): 7.879 7.879 3.338 90.00 90.00 120.00
Fractional positions:
Zr 0.000 0.249 0.000
Zr 0.000 0.597 0.500
Zr 0.249 0.000 0.000
Zr 0.403 0.403 0.500
Zr 0.597 0.000 0.500
Zr 0.751 0.751 0.000
Ga 0.333 0.667 0.000
Ga 0.667 0.333 0.000
Fe 0.000 0.000 0.500



Below is ZrGa7Fe5 after structural relaxation, with properties calculated at the PBE level.

Lattice parameters (Å, degrees): 6.558 6.558 6.558 134.95 98.09 98.78
Fractional positions:
Zr 0.000 0.000 0.000
Ga 0.197 0.502 0.695
Ga 0.323 0.987 0.336
Ga 0.328 0.328 0.000
Ga 0.651 0.987 0.664
Ga 0.657 0.657 0.000
Ga 0.766 0.266 0.500
Ga 0.808 0.502 0.305
Fe 0.236 0.736 0.500
Fe 0.497 0.491 0.499
Fe 0.497 0.998 0.006
Fe 0.992 0.491 0.994
Fe 0.992 0.998 0.501



Below is Zr3GaFe8 after structural relaxation, with properties calculated at the PBE level.

Lattice parameters (Å, degrees): 8.514 8.514 8.514 33.56 33.56 33.56
Fractional positions:
Zr 0.000 0.000 0.000
Zr 0.128 0.128 0.128
Zr 0.508 0.508 0.508
Ga 0.630 0.630 0.630
Fe 0.064 0.565 0.565
Fe 0.067 0.067 0.565
Fe 0.067 0.565 0.067
Fe 0.315 0.315 0.315
Fe 0.565 0.064 0.565
Fe 0.565 0.067 0.067
Fe 0.565 0.565 0.064
Fe 0.816 0.816 0.816



Below is Zr8Ga2Fe after structural relaxation, with properties calculated at the PBE level.

Lattice parameters (Å, degrees): 8.761 8.761 6.354 97.68 97.68 28.36
Fractional positions:
Zr 0.006 0.006 0.266
Zr 0.216 0.216 0.842
Zr 0.355 0.355 0.470
Zr 0.403 0.403 0.983
Zr 0.597 0.597 0.017
Zr 0.645 0.645 0.530
Zr 0.784 0.784 0.158
Zr 0.994 0.994 0.734
Ga 0.182 0.182 0.277
Ga 0.818 0.818 0.723
Fe 0.500 0.500 0.500



Below is Gd3Fe after structural relaxation, with properties calculated at the PBE level.

Lattice parameters (Å, degrees): 3.342 3.576 9.291 90.00 90.00 90.00
Fractional positions:
Gd 0.000 0.000 0.000
Gd 0.000 0.500 0.337
Gd 0.500 0.500 0.708
Fe 0.500 0.000 0.492



Number 1: total energy -6.89 eV/atom, D(E_F) 17.210 states/eV/cell. Number 2: total energy -7.68 eV/atom, D(E_F) 9.902 states/eV/cell. Number 3: total energy -5.81 eV/atom, D(E_F) 7.783 states/eV/cell. Number 4: total energy -8.29 eV/atom, D(E_F) 8.128 states/eV/cell. Number 5: total energy -7.75 eV/atom, D(E_F) 9.785 states/eV/cell. Number 6: total energy -12.40 eV/atom, D(E_F) 6.679 states/eV/cell.